# AlIn2IN (PBE, optimized geometry)
data_AlIn2IN
_cell_length_a 5.473
_cell_length_b 5.473
_cell_length_c 5.682
_cell_angle_alpha 90.00
_cell_angle_beta 90.00
_cell_angle_gamma 90.00
_space_group_name_H-M_alt 'P 4/m m m'
_space_group_IT_number 123
_space_group_name_Hall '-P 4 2'
loop_
_atom_site_label
_atom_site_type_symbol
_atom_site_fract_x
_atom_site_fract_y
_atom_site_fract_z
Al1 Al 0.000 0.000 0.000
In1 In 0.000 0.500 0.000
I1 I 0.000 0.000 0.500
N1 N 0.500 0.500 0.500
# Final energy ... -13.6 eV per cell
# E_form (uncorrected) ... 1092 meV per atom

=====

# Sc2AgRu (PBE, optimized geometry)
data_Sc2AgRu
_cell_length_a 3.989
_cell_length_b 3.989
_cell_length_c 9.176
_cell_angle_alpha 90.00
_cell_angle_beta 90.00
_cell_angle_gamma 90.00
_space_group_name_H-M_alt 'I -4 m 2'
_space_group_IT_number 119
_space_group_name_Hall 'I -4 -2'
loop_
_atom_site_label
_atom_site_type_symbol
_atom_site_fract_x
_atom_site_fract_y
_atom_site_fract_z
Sc1 Sc 0.000 0.000 0.000
Sc2 Sc 0.000 0.500 0.250
Ag1 Ag 0.000 0.500 0.750
Ru1 Ru 0.000 0.000 0.500
# Final energy ... -51.3 eV per cell
# Energy relative to the elements ... -218 meV per atom

=====

# Pm5TmGa4 (PBE, optimized geometry)
data_Pm5TmGa4
_cell_length_a 3.635
_cell_length_b 3.635
_cell_length_c 20.018
_cell_angle_alpha 90.00
_cell_angle_beta 90.00
_cell_angle_gamma 90.00
_space_group_name_H-M_alt 'P 4/m m m'
_space_group_IT_number 123
_space_group_name_Hall '-P 4 2'
loop_
_atom_site_label
_atom_site_type_symbol
_atom_site_fract_x
_atom_site_fract_y
_atom_site_fract_z
Pm1 Pm 0.000 0.000 0.000
Pm2 Pm 0.000 0.000 0.187
Pm3 Pm 0.000 0.000 0.373
Tm1 Tm 0.500 0.500 0.500
Ga1 Ga 0.500 0.500 0.093
Ga2 Ga 0.500 0.500 0.282
# Final energy ... -44.6 eV per cell
# Energy relative to the elements ... -430 meV per atom

=====

# Dy3Tl4CrSe8 (PBE, optimized geometry)
data_Dy3Tl4CrSe8
_cell_length_a 8.1864
_cell_length_b 8.1864
_cell_length_c 23.2622
_cell_angle_alpha 90.00
_cell_angle_beta 90.00
_cell_angle_gamma 120.00
_space_group_name_H-M_alt 'R -3 m'
_space_group_IT_number 166
_space_group_name_Hall '-R 3 2"'
loop_
_atom_site_label
_atom_site_type_symbol
_atom_site_fract_x
_atom_site_fract_y
_atom_site_fract_z
Dy1 Dy 0.0000 0.5000 0.0000
Tl1 Tl 0.0000 0.0000 0.5000
Tl2 Tl 0.0000 0.5000 0.5000
Cr1 Cr 0.0000 0.0000 0.0000
Se1 Se 0.0000 0.0000 0.2642
Se2 Se 0.0221 0.5110 0.7318
# Final energy ... -235.9 eV per cell
# E_form (uncorrected) ... -1117 meV per atom

=====

# ScCuNi (PBE, optimized geometry)
data_ScCuNi
_cell_length_a 4.1407
_cell_length_b 4.1407
_cell_length_c 3.0683
_cell_angle_alpha 90.00
_cell_angle_beta 90.00
_cell_angle_gamma 120.00
_space_group_name_H-M_alt 'P -6 m 2'
_space_group_IT_number 187
_space_group_name_Hall 'P -6 2'
loop_
_atom_site_label
_atom_site_type_symbol
_atom_site_fract_x
_atom_site_fract_y
_atom_site_fract_z
Sc1 Sc 0.0000 0.0000 0.0000
Cu1 Cu 0.6667 0.3333 0.5000
Ni1 Ni 0.3333 0.6667 0.5000
# Final energy ... -17.0 eV per cell
# Energy relative to the elements ... -267 meV per atom

=====

# HfBi2Os2 (PBE, optimized geometry)
data_HfBi2Os2
_cell_length_a 8.057
_cell_length_b 8.057
_cell_length_c 3.160
_cell_angle_alpha 90.00
_cell_angle_beta 90.00
_cell_angle_gamma 90.00
_space_group_name_H-M_alt 'P 4/m b m'
_space_group_IT_number 127
_space_group_name_Hall '-P 4 2ab'
loop_
_atom_site_label
_atom_site_type_symbol
_atom_site_fract_x
_atom_site_fract_y
_atom_site_fract_z
Hf1 Hf 0.000 0.000 0.000
Bi1 Bi 0.148 0.352 0.000
Os1 Os 0.151 0.651 0.500
# Final energy ... -71.7 eV per cell
# Energy relative to the elements ... 864 meV per atom